[1]
Computed, not measured: crystalline MnSi3 at its relaxed geometry at the PBE level of DFT.

a = 3.6815 Å, b = 4.8063 Å, c = 5.9431 Å
α = 90.00°, β = 90.00°, γ = 90.00°
Closest atoms and distances in Å follow each position.
Element x y z (fractional)
Mn 0.2500 0.2500 0.2437  6 Si 2.32-2.55
Mn 0.7500 0.7500 0.7563  6 Si 2.32-2.55
Si 0.2500 0.0136 0.8596  4 Si 2.27-2.53, 2 Mn 2.32
Si 0.2500 0.4864 0.8596  4 Si 2.27-2.53, 2 Mn 2.32
Si 0.2500 0.7500 0.4361  4 Mn 2.65-2.66, 6 Si 2.79-2.82
Si 0.7500 0.2500 0.5639  4 Mn 2.65-2.66, 6 Si 2.79-2.82
Si 0.7500 0.5136 0.1404  4 Si 2.27-2.53, 2 Mn 2.32
Si 0.7500 0.9864 0.1404  4 Si 2.27-2.53, 2 Mn 2.32

Results
- VASP energy: -0.2349 hartree per atom
- V: 105.2 Å³ per cell
- Crystal system: orthorhombic
- Space-group type: Pmmn (59)

***

[2]
Computed, not measured: crystalline Mn5Si4 at its relaxed geometry at the PBE level of DFT.

a = 5.6957 Å, b = 5.6957 Å, c = 5.6957 Å
α = 96.23°, β = 96.23°, γ = 141.52°
Closest atoms and distances in Å follow each position.
Element x y z (fractional)
Mn 0.0000 0.0000 0.0000  4 Si 2.35, 8 Mn 2.63
Mn 0.3284 0.3284 0.6569  6 Si 2.50-2.51, 6 Mn 2.52-2.63
Mn 0.3284 0.6716 0.0000  6 Si 2.50-2.51, 6 Mn 2.52-2.63
Mn 0.6716 0.3284 0.0000  6 Si 2.50-2.51, 6 Mn 2.52-2.63
Mn 0.6716 0.6716 0.3431  6 Si 2.50-2.51, 6 Mn 2.52-2.63
Si 0.0000 0.3094 0.3094  7 Mn 2.35-2.51
Si 0.0000 0.6906 0.6906  7 Mn 2.35-2.51
Si 0.3094 0.0000 0.3094  7 Mn 2.35-2.51
Si 0.6906 0.0000 0.6906  7 Mn 2.35-2.51

Results
- VASP energy: -0.2816 hartree per atom
- V: 108.6 Å³ per cell
- Crystal system: tetragonal
- Space-group type: I4/mmm (139)

***

[3]
Computed, not measured: crystalline MnSi3 at its relaxed geometry at the PBE level of DFT.

a = 4.3792 Å, b = 4.3792 Å, c = 2.6785 Å
α = 90.00°, β = 90.00°, γ = 108.43°
Closest atoms and distances in Å follow each position.
Element x y z (fractional)
Mn 0.0000 0.0000 0.0000  10 Si 2.56-2.57, 2 Mn 2.68
Si 0.0000 0.5000 0.5000  8 Si 2.56-2.68, 4 Mn 2.57
Si 0.5000 0.0000 0.5000  8 Si 2.56-2.68, 4 Mn 2.57
Si 0.5000 0.5000 0.0000  2 Mn 2.56, 10 Si 2.57-2.68

Results
- VASP energy: -0.2282 hartree per atom
- V: 48.7 Å³ per cell
- Crystal system: orthorhombic
- Space-group type: Cmmm (65)